A relaxed CoHgGeC2 crystal. Source: Alexandria, functional PBE-GGA.

abc: 3.7034 5.5469 3.7034
angles: 90.00 90.00 90.00
Last column: nearest neighbours and their distance in Å.
Element x y z (fractional)
Co 0.0000 0.0000 0.0000  4 C 1.85
C 0.0000 0.0000 0.5000  2 Co 1.85
Ge 0.0000 0.5000 0.0000  4 Hg 2.62, 2 Co 2.77
C 0.5000 0.0000 0.0000  2 Co 1.85
Hg 0.5000 0.5000 0.5000  4 Ge 2.62

E_form	1376	meV per atom
theoretical density	7.8	g/cm3
final energy	-4.719	eV per atom

A relaxed HoCo2GeC crystal. Source: Alexandria, functional PBE-GGA.

abc: 3.7407 5.6426 6.8443
angles: 90.00 90.00 109.36
Last column: nearest neighbours and their distance in Å.
Element x y z (fractional)
Ge 0.7298 0.4596 0.7500  6 Co 2.40-2.41
Co 0.1603 0.3206 0.5559  1 C 1.75
Ge 0.2702 0.5404 0.2500  6 Co 2.40-2.41
Co 0.1603 0.3206 0.9441  1 C 1.75
Co 0.8397 0.6794 0.4441  1 C 1.75
Ho 0.4511 0.9022 0.7500  4 C 2.59
C 0.0000 0.0000 0.5000  2 Co 1.75
Co 0.8397 0.6794 0.0559  1 C 1.75
Ho 0.5489 0.0978 0.2500  4 C 2.59
C 0.0000 0.0000 0.0000  2 Co 1.75

E_form	-491	meV per atom
theoretical density	9.0	g/cm3
final energy	-7.017	eV per atom

A relaxed La2CoGeC crystal. Source: Alexandria, functional PBE-GGA.

abc: 5.3830 5.3830 3.6523
angles: 90.00 90.00 90.00
Last column: nearest neighbours and their distance in Å.
Element x y z (fractional)
Ge 0.5000 0.5000 0.5000  8 La 3.25
La 0.5000 0.0000 0.0000  2 C 2.69
Co 0.0000 0.0000 0.5000  2 C 1.83
La 0.0000 0.5000 0.0000  2 C 2.69
C 0.0000 0.0000 0.0000  2 Co 1.83

E_form	-363	meV per atom
theoretical density	6.6	g/cm3
final energy	-6.524	eV per atom

A relaxed Mn2Co4Ge2C crystal. Source: Alexandria, functional PBE-GGA.

abc: 5.1832 5.1832 5.1832
angles: 92.49 118.57 118.57
Last column: nearest neighbours and their distance in Å.
Element x y z (fractional)
Co 0.0000 0.2517 0.7483  1 C 1.88
Co 0.5034 0.2517 0.2517  1 C 1.88
Co 0.4966 0.7483 0.7483  1 C 1.88
C 0.0000 0.0000 0.0000  4 Co 1.88, 2 Mn 1.92
Ge 0.5000 0.2500 0.7500  8 Co 2.59, 4 Mn 2.65
Mn 0.0000 0.7322 0.7322  1 C 1.92
Mn 0.0000 0.2678 0.2678  1 C 1.92
Ge 0.5000 0.7500 0.2500  8 Co 2.59, 4 Mn 2.65
Co 0.0000 0.7483 0.2517  1 C 1.88

E_form	-94	meV per atom
theoretical density	8.3	g/cm3
final energy	-7.341	eV per atom

A relaxed Mn2CoGeC crystal. Source: Alexandria, functional PBE-GGA.

abc: 3.7954 3.7954 3.7789
angles: 90.00 90.00 90.00
Last column: nearest neighbours and their distance in Å.
Element x y z (fractional)
C 0.0000 0.0000 0.0000  2 Co 1.89, 4 Mn 1.90
Mn 0.5000 0.0000 0.0000  2 C 1.90
Ge 0.5000 0.5000 0.5000  8 Mn 2.68, 4 Co 2.68
Mn 0.0000 0.5000 0.0000  2 C 1.90
Co 0.0000 0.0000 0.5000  2 C 1.89

E_form	-22	meV per atom
theoretical density	7.7	g/cm3
final energy	-7.880	eV per atom

A relaxed Co2GeMoC crystal. Source: Alexandria, functional PBE-GGA.

abc: 3.7559 3.7559 4.1726
angles: 90.00 90.00 90.00
Last column: nearest neighbours and their distance in Å.
Element x y z (fractional)
C 0.0000 0.0000 0.0000  4 Co 1.88, 2 Mo 2.09
Mo 0.0000 0.0000 0.5000  2 C 2.09
Co 0.5000 0.0000 0.0000  2 C 1.88
Ge 0.5000 0.5000 0.5000  4 Mo 2.66, 8 Co 2.81
Co 0.0000 0.5000 0.0000  2 C 1.88

E_form	17	meV per atom
theoretical density	8.4	g/cm3
final energy	-7.760	eV per atom

Question: Which formula does entry 2 have?
Answer: HoCo2GeC